VASP calculation (PBE) on a geometry-optimized GePPd structure.

The structure in POSCAR format:
```
GePPd
1.0
7.1523 0.0000 0.0062
0.0000 3.1757 0.0000
-5.1036 0.0000 10.3315
Ge Pd P
4 4 4
direct
0.6239 0.5000 0.4647
0.7187 0.0000 0.7731
0.7187 0.5000 0.2731
0.6239 0.0000 0.9647
0.0268 0.5000 0.8387
0.0268 0.0000 0.3387
0.4448 0.5000 0.0480
0.4448 0.0000 0.5480
0.9866 0.5000 0.6240
0.1270 0.5000 0.0603
0.1270 0.0000 0.5603
0.9866 0.0000 0.1240
```

* final energy: -63.3 eV for the cell shown
* Fermi-level density of states: 5.20 states/eV per cell
* space group: Cm (8)
* energy relative to the lowest polymorph listed for this composition: 13.2 meV/atom
* ΔE_f: -0.6 eV per formula unit